Tm2BiPd9 (GGA-PBE, relaxed); formation enthalpy at 0 K = -0.70 eV per atom; VASP energy = -5.665 eV/atom; calculated volume = 207.77 Å³/cell
1.0
4.1057 0.0000 0.0000
0.0000 4.1057 0.0000
0.0000 0.0000 12.3253
Tm Bi Pd
2 1 9
Cartesian
0.0000 0.0000 4.1607
0.0000 0.0000 8.1645
0.0000 0.0000 0.0000
2.0529 2.0529 0.0000
2.0529 2.0529 4.0841
2.0529 2.0529 8.2411
2.0529 0.0000 2.0753
2.0529 0.0000 6.1626
2.0529 0.0000 10.2500
0.0000 2.0529 2.0753
0.0000 2.0529 6.1626
0.0000 2.0529 10.2500